1.
Entry from Alexandria via LeMat-Bulk: crystalline Li2DyMg3 at its relaxed geometry (GGA-PBE).

Cell and atoms, written as CIF:
```
data_Li2DyMg3
_chemical_formula_sum 'Li2 Dy1 Mg3'
_cell_length_a 3.482
_cell_length_b 3.482
_cell_length_c 11.283
_cell_angle_alpha 90.00
_cell_angle_beta 90.00
_cell_angle_gamma 90.00
_space_group_name_H-M_alt 'P 4/m m m'
_space_group_IT_number 123
_space_group_name_Hall '-P 4 2'
loop_
_atom_site_label
_atom_site_fract_x
_atom_site_fract_y
_atom_site_fract_z
_atom_site_occupancy
Li1 0.000 0.000 0.153 1
Dy1 0.000 0.000 0.500 1
Mg1 0.500 0.500 0.000 1
Mg2 0.500 0.500 0.299 1
```

Results
Size of the total moment: 0.020 μB per atom
Offset from the most stable computed form: 0.000 eV per atom
DOS(E_F): 4.3 states/eV/f.u.

***

2.
Entry from Alexandria via LeMat-Bulk: crystalline LiDyMg2 at its relaxed geometry (GGA-PBE).

Cell and atoms, written as CIF:
```
data_LiDyMg2
_chemical_formula_sum 'Li3 Dy3 Mg6'
_cell_length_a 3.2843
_cell_length_b 3.2843
_cell_length_c 32.2516
_cell_angle_alpha 90.00
_cell_angle_beta 90.00
_cell_angle_gamma 120.00
_space_group_name_H-M_alt 'R 3 m'
_space_group_IT_number 160
_space_group_name_Hall 'R 3 -2"'
loop_
_atom_site_label
_atom_site_fract_x
_atom_site_fract_y
_atom_site_fract_z
_atom_site_occupancy
Li1 0.0000 0.0000 0.0000 1
Dy1 0.0000 0.0000 0.8325 1
Mg1 0.0000 0.0000 0.4105 1
Mg2 0.0000 0.0000 0.5884 1
```

Results
Size of the total moment: 0.000 μB per atom
Offset from the most stable computed form: 0.080 eV per atom
DOS(E_F): 2.6 states/eV/f.u.

***

3.
Entry from Alexandria via LeMat-Bulk: crystalline LiDyMg2 at its relaxed geometry (GGA-PBE).

Cell and atoms, written as CIF:
```
data_LiDyMg2
_chemical_formula_sum 'Li1 Dy1 Mg2'
_cell_length_a 5.449
_cell_length_b 5.449
_cell_length_c 3.431
_cell_angle_alpha 90.00
_cell_angle_beta 90.00
_cell_angle_gamma 90.00
_space_group_name_H-M_alt 'P 4/m m m'
_space_group_IT_number 123
_space_group_name_Hall '-P 4 2'
loop_
_atom_site_label
_atom_site_fract_x
_atom_site_fract_y
_atom_site_fract_z
_atom_site_occupancy
Li1 0.000 0.000 0.000 1
Dy1 0.500 0.500 0.000 1
Mg1 0.000 0.500 0.500 1
```

Results
Size of the total moment: 0.000 μB per atom
Offset from the most stable computed form: 0.065 eV per atom
DOS(E_F): 3.1 states/eV/f.u.

***

4.
Entry from Alexandria via LeMat-Bulk: crystalline LiDyMg14 at its relaxed geometry (GGA-PBE).

Cell and atoms, written as CIF:
```
data_LiDyMg14
_chemical_formula_sum 'Li1 Dy1 Mg14'
_cell_length_a 6.576
_cell_length_b 6.576
_cell_length_c 8.733
_cell_angle_alpha 90.00
_cell_angle_beta 90.00
_cell_angle_gamma 90.00
_space_group_name_H-M_alt 'P 4/m m m'
_space_group_IT_number 123
_space_group_name_Hall '-P 4 2'
loop_
_atom_site_label
_atom_site_fract_x
_atom_site_fract_y
_atom_site_fract_z
_atom_site_occupancy
Li1 0.000 0.000 0.000 1
Dy1 0.500 0.500 0.000 1
Mg1 0.000 0.000 0.500 1
Mg2 0.000 0.500 0.000 1
Mg3 0.000 0.500 0.500 1
Mg4 0.247 0.247 0.255 1
Mg5 0.500 0.500 0.500 1
```

Results
Size of the total moment: 0.000 μB per atom
Total DFT energy (no corrections): -1.81 eV/atom
DOS(E_F): 7.9 states/eV/f.u.